Entry from OQMD: an optimized crystal structure of Ni2P (PBE-GGA).

Calculated values
Electronic total energy, eV per atom: -5.64
M_tot, μB/cell: 0.0
Space group: No. 136

Unit cell a=4.7973 b=4.7973 c=3.6051 alpha=90.00 beta=90.00 gamma=90.00
With the nearest neighbours (Å) after each atom.
Sites, in units of the cell vectors:
1 Ni 0.3167 0.3167 0.0000  3 P 2.15-2.19
2 Ni 0.8167 0.1833 0.5000  3 P 2.15-2.19
3 Ni 0.6833 0.6833 0.0000  3 P 2.15-2.19
4 Ni 0.1833 0.8167 0.5000  3 P 2.15-2.19
5 P 0.5000 0.5000 0.5000  6 Ni 2.15-2.19
6 P 0.0000 0.0000 0.0000  6 Ni 2.15-2.19

Entry from OQMD: an optimized crystal structure of NaNdBi (PBE-GGA).

Calculated values
Electronic total energy, eV per atom: -3.79
M_tot, μB/cell: 0.0
Space group: No. 216

Unit cell a=5.2687 b=5.2687 c=5.2687 alpha=60.00 beta=60.00 gamma=60.00
With the nearest neighbours (Å) after each atom.
Sites, in units of the cell vectors:
1 Nd 0.7500 0.7500 0.7500  4 Bi 3.23
2 Bi 0.0000 0.0000 0.0000  4 Nd 3.23, 4 Na 3.23
3 Na 0.2500 0.2500 0.2500  4 Bi 3.23

Entry from OQMD: an optimized crystal structure of Li4Al2GaCu (PBE-GGA).

Calculated values
Electronic total energy, eV per atom: -2.99
Space group: No. 115

Unit cell a=4.3065 b=4.3065 c=6.1710 alpha=90.00 beta=90.00 gamma=90.00
With the nearest neighbours (Å) after each atom.
Sites, in units of the cell vectors:
1 Al 0.0000 0.5000 0.2349  2 Cu 2.60, 4 Li 2.60-2.70, 2 Ga 2.70
2 Al 0.5000 0.0000 0.7651  4 Li 2.60-2.70, 2 Cu 2.60, 2 Ga 2.70
3 Li 0.5000 0.0000 0.2450  4 Li 2.63-2.67, 2 Cu 2.63, 2 Ga 2.67
4 Li 0.5000 0.5000 0.5000  4 Li 2.67, 4 Al 2.70
5 Li 0.0000 0.0000 0.0000  4 Al 2.60, 4 Li 2.63
6 Li 0.0000 0.5000 0.7550  2 Cu 2.63, 4 Li 2.63-2.67, 2 Ga 2.67
7 Cu 0.5000 0.5000 0.0000  4 Al 2.60, 4 Li 2.63
8 Ga 0.0000 0.0000 0.5000  4 Li 2.67, 4 Al 2.70

Entry from OQMD: an optimized crystal structure of HfTlTe3Au (PBE-GGA).

Calculated values
Polymorph energy (0 for the lowest one), eV/atom: 0.113
M_tot, μB/cell: 0.0
Space group: No. 62

Unit cell a=12.9735 b=4.1997 c=13.0742 alpha=90.00 beta=90.00 gamma=90.00
With the nearest neighbours (Å) after each atom.
Sites, in units of the cell vectors:
1 Te 0.7382 0.2500 0.1655  1 Hf 2.76, 2 Au 2.83
2 Te 0.4801 0.7500 0.1761  1 Au 2.80, 2 Hf 2.94
3 Te 0.2382 0.2500 0.3345  1 Hf 2.76, 2 Au 2.83
4 Te 0.2618 0.7500 0.8345  1 Hf 2.76, 2 Au 2.83
5 Te 0.0823 0.7500 0.0700  1 Au 2.86, 3 Hf 3.00-3.16
6 Te 0.9177 0.2500 0.9300  1 Au 2.86, 3 Hf 3.00-3.16
7 Te 0.4177 0.2500 0.5700  1 Au 2.86, 3 Hf 3.00-3.16
8 Te 0.7618 0.7500 0.6655  1 Hf 2.76, 2 Au 2.83
9 Te 0.5823 0.7500 0.4300  1 Au 2.86, 3 Hf 3.00-3.16
10 Te 0.9801 0.7500 0.3239  1 Au 2.80, 2 Hf 2.94
11 Te 0.0199 0.2500 0.6761  1 Au 2.80, 2 Hf 2.94
12 Te 0.5199 0.2500 0.8239  1 Au 2.80, 2 Hf 2.94
13 Au 0.7350 0.2500 0.8080  4 Te 2.80-2.86, 2 Tl 3.13
14 Au 0.2350 0.2500 0.6920  4 Te 2.80-2.86, 2 Tl 3.13
15 Au 0.2650 0.7500 0.1920  4 Te 2.80-2.86, 2 Tl 3.13
16 Au 0.7650 0.7500 0.3080  4 Te 2.80-2.86, 2 Tl 3.13
17 Hf 0.0494 0.7500 0.8304  5 Te 2.76-3.00
18 Hf 0.9506 0.2500 0.1696  5 Te 2.76-3.00
19 Hf 0.4506 0.2500 0.3304  5 Te 2.76-3.00
20 Hf 0.5494 0.7500 0.6696  5 Te 2.76-3.00
21 Tl 0.8212 0.2500 0.4767  2 Au 3.13, 2 Te 3.33
22 Tl 0.6788 0.7500 0.9767  2 Au 3.13, 2 Te 3.33
23 Tl 0.3212 0.2500 0.0233  2 Au 3.13, 2 Te 3.33
24 Tl 0.1788 0.7500 0.5233  2 Au 3.13, 2 Te 3.33

Entry from OQMD: an optimized crystal structure of Ba2BAu (PBE-GGA).

Calculated values
Electronic total energy, eV per atom: -2.94
Space group: No. 216

Unit cell a=5.2859 b=5.2859 c=5.2859 alpha=60.00 beta=60.00 gamma=60.00
With the nearest neighbours (Å) after each atom.
Sites, in units of the cell vectors:
1 Au 0.2500 0.2500 0.2500  4 B 3.24, 4 Ba 3.24
2 Ba 0.0000 0.0000 0.0000  4 Au 3.24, 4 Ba 3.24
3 Ba 0.7500 0.7500 0.7500  4 B 3.24, 4 Ba 3.24
4 B 0.5000 0.5000 0.5000  4 Au 3.24, 4 Ba 3.24

Entry from OQMD: an optimized crystal structure of ZrSc2Ni4Sn4 (PBE-GGA).

Calculated values
Electronic total energy, eV per atom: -5.89
M_tot, μB/cell: 0.0
Space group: No. 71

Unit cell a=7.9675 b=7.9675 c=7.9675 alpha=149.57 beta=128.22 gamma=61.26
With the nearest neighbours (Å) after each atom.
Sites, in units of the cell vectors:
1 Sn 0.2152 0.2152 0.0000  6 Ni 2.55-2.56
2 Sn 0.7848 0.7848 0.0000  6 Ni 2.55-2.56
3 Sn 0.2941 0.5000 0.7941  2 Ni 2.55
4 Sn 0.7059 0.5000 0.2059  2 Ni 2.55
5 Zr 0.0000 0.0000 0.0000  6 Sn 2.93-2.95
6 Ni 0.3757 0.6794 0.6963  4 Sn 2.55-2.56, 1 Ni 2.73
7 Ni 0.9831 0.6794 0.3037  4 Sn 2.55-2.56, 1 Ni 2.73
8 Ni 0.6243 0.3206 0.3037  4 Sn 2.55-2.56, 1 Ni 2.73
9 Ni 0.0169 0.3206 0.6963  4 Sn 2.55-2.56, 1 Ni 2.73
10 Sc 0.6303 0.1303 0.5000  6 Ni 2.94-3.05, 6 Sn 2.98-3.10
11 Sc 0.3697 0.8697 0.5000  6 Ni 2.94-3.05, 6 Sn 2.98-3.10

Entry from OQMD: an optimized crystal structure of TaZnNO (PBE-GGA).

Calculated values
Polymorph energy (0 for the lowest one), eV/atom: 0.291
M_tot, μB/cell: 0.0
Space group: No. 129

Unit cell a=4.1909 b=4.1909 c=4.9050 alpha=90.00 beta=90.00 gamma=90.00
With the nearest neighbours (Å) after each atom.
Sites, in units of the cell vectors:
1 Ta 0.0000 0.0000 0.5000  4 N 2.16
2 Ta 0.5000 0.5000 0.5000  4 N 2.16
3 Zn 0.5000 0.0000 0.0450  4 O 2.11, 1 N 2.13
4 Zn 0.0000 0.5000 0.9550  4 O 2.11, 1 N 2.13
5 O 0.0000 0.0000 0.0000  4 Zn 2.11
6 O 0.5000 0.5000 0.0000  4 Zn 2.11
7 N 0.5000 0.0000 0.6105  1 Zn 2.13, 4 Ta 2.16
8 N 0.0000 0.5000 0.3895  1 Zn 2.13, 4 Ta 2.16

Entry from OQMD: an optimized crystal structure of Er3HfPb2C2 (PBE-GGA).

Calculated values
Electronic total energy, eV per atom: -6.74
M_tot, μB/cell: 0.0
Space group: No. 156

Unit cell a=3.5217 b=3.5217 c=15.6391 alpha=90.00 beta=90.00 gamma=120.00
With the nearest neighbours (Å) after each atom.
Sites, in units of the cell vectors:
1 Er 0.6667 0.3333 0.4184  3 C 2.43
2 Er 0.0000 0.0000 0.5869  3 C 2.42
3 Er 0.6667 0.3333 0.0786  3 C 2.48
4 Hf 0.0000 0.0000 0.9187  3 C 2.30
5 Pb 0.0000 0.0000 0.2471  6 Er 3.33-3.36, 6 Pb 3.52
6 Pb 0.6667 0.3333 0.7595  3 Hf 3.21, 3 Er 3.38, 6 Pb 3.52
7 C 0.3333 0.6667 0.5031  6 Er 2.42-2.43
8 C 0.3333 0.6667 0.9877  3 Hf 2.30, 3 Er 2.48